[1]
DFT (meta-GGA SCAN) results for a crystal of YCr2Os relaxed with PBEsol.

- SG = C2/m
- E_tot (eV/atom) = -33.53
- energy of formation from the pure elements (kcal/mol of atoms) = 13.76

abc: 5.377 8.490 2.762
angles: 90.00 109.81 90.00
Atoms (fractional coordinates):
Y  0.000  0.000  0.000
Y  0.500  0.500  0.000
Cr  0.250  0.250  0.500
Cr  0.250  0.750  0.500
Cr  0.750  0.250  0.500
Cr  0.750  0.750  0.500
Os  0.000  0.500  0.000
Os  0.500  0.000  0.000

=====

[2]
DFT (meta-GGA SCAN) results for a crystal of YCr2Os relaxed with PBEsol.

- SG = P4mm
- E_tot (eV/atom) = -33.84
- energy of formation from the pure elements (kcal/mol of atoms) = 6.57

abc: 2.964 2.964 6.963
angles: 90.00 90.00 90.00
Atoms (fractional coordinates):
Y  0.000  0.000  0.000
Cr  0.000  0.000  0.480
Cr  0.500  0.500  0.310
Os  0.500  0.500  0.688

=====

[3]
DFT (meta-GGA SCAN) results for a crystal of YCr2Os relaxed with PBEsol.

- SG = F-43m
- E_tot (eV/atom) = -33.96
- energy of formation from the pure elements (kcal/mol of atoms) = 3.82

abc: 6.279 6.279 6.279
angles: 90.00 90.00 90.00
Atoms (fractional coordinates):
Y  0.000  0.000  0.000
Y  0.000  0.500  0.500
Y  0.500  0.000  0.500
Y  0.500  0.500  0.000
Cr  0.000  0.000  0.500
Cr  0.000  0.500  0.000
Cr  0.250  0.250  0.750
Cr  0.250  0.750  0.250
Cr  0.500  0.000  0.000
Cr  0.500  0.500  0.500
Cr  0.750  0.250  0.250
Cr  0.750  0.750  0.750
Os  0.250  0.250  0.250
Os  0.250  0.750  0.750
Os  0.750  0.250  0.750
Os  0.750  0.750  0.250

=====

[4]
DFT (meta-GGA SCAN) results for a crystal of YCr2Os relaxed with PBEsol.

- SG = Fm-3m
- E_tot (eV/atom) = -33.74
- energy of formation from the pure elements (kcal/mol of atoms) = 8.90

abc: 6.155 6.155 6.155
angles: 90.00 90.00 90.00
Atoms (fractional coordinates):
Y  0.000  0.000  0.000
Y  0.000  0.500  0.500
Y  0.500  0.000  0.500
Y  0.500  0.500  0.000
Cr  0.250  0.250  0.250
Cr  0.250  0.250  0.750
Cr  0.250  0.750  0.250
Cr  0.250  0.750  0.750
Cr  0.750  0.250  0.250
Cr  0.750  0.250  0.750
Cr  0.750  0.750  0.250
Cr  0.750  0.750  0.750
Os  0.000  0.000  0.500
Os  0.000  0.500  0.000
Os  0.500  0.000  0.000
Os  0.500  0.500  0.500

=====

[5]
DFT (meta-GGA SCAN) results for a crystal of YCr2Os relaxed with PBEsol.

- SG = P2/m
- E_tot (eV/atom) = -33.74
- energy of formation from the pure elements (kcal/mol of atoms) = 8.74

abc: 2.808 4.135 5.640
angles: 90.00 102.66 90.00
Atoms (fractional coordinates):
Y  0.000  0.000  0.000
Cr  0.202  0.500  0.673
Cr  0.798  0.500  0.327
Os  0.500  0.000  0.500

=====

[6]
DFT (meta-GGA SCAN) results for a crystal of Zn2CrOs relaxed with PBEsol.

- SG = R3m
- E_tot (eV/atom) = -29.23
- energy of formation from the pure elements (kcal/mol of atoms) = 2.28

abc: 2.671 2.671 25.907
angles: 90.00 90.00 120.00
Atoms (fractional coordinates):
Zn  0.000  0.000  0.000
Zn  0.000  0.000  0.245
Zn  0.333  0.667  0.667
Zn  0.333  0.667  0.912
Zn  0.667  0.333  0.333
Zn  0.667  0.333  0.579
Cr  0.000  0.000  0.496
Cr  0.333  0.667  0.163
Cr  0.667  0.333  0.830
Os  0.000  0.000  0.754
Os  0.333  0.667  0.421
Os  0.667  0.333  0.088

=====

[7]
DFT (meta-GGA SCAN) results for a crystal of Zn2CrOs relaxed with PBEsol.

- SG = C2/m
- E_tot (eV/atom) = -29.11
- energy of formation from the pure elements (kcal/mol of atoms) = 5.00

abc: 5.051 8.565 2.560
angles: 90.00 109.05 90.00
Atoms (fractional coordinates):
Zn  0.250  0.250  0.000
Zn  0.250  0.750  0.000
Zn  0.750  0.250  0.000
Zn  0.750  0.750  0.000
Cr  0.000  0.000  0.500
Cr  0.500  0.500  0.500
Os  0.000  0.500  0.500
Os  0.500  0.000  0.500

=====

[8]
DFT (meta-GGA SCAN) results for a crystal of Zn2CrOs relaxed with PBEsol.

- SG = Pmmm
- E_tot (eV/atom) = -29.16
- energy of formation from the pure elements (kcal/mol of atoms) = 3.88

abc: 2.585 4.001 5.150
angles: 90.00 90.00 90.00
Atoms (fractional coordinates):
Zn  0.000  0.000  0.248
Zn  0.000  0.000  0.752
Cr  0.500  0.500  0.000
Os  0.500  0.500  0.500

=====

Question: Look up the E_tot of the first one.
Answer: -33.53 eV/atom